[1]
VASP calculation (PBE) on a relaxed structure of ThSc3Fe8.

```
data_ThSc3Fe8
_space_group_name_H-M_alt 'P 1'
_space_group_IT_number 1
_cell_length_a 5.011
_cell_length_b 5.011
_cell_length_c 8.716
_cell_angle_alpha 73.29
_cell_angle_beta 73.29
_cell_angle_gamma 60.00
loop_
_space_group_symop_operation_xyz
'x,y,z'
loop_
_atom_site_label
_atom_site_fract_x
_atom_site_fract_y
_atom_site_fract_z
Th1 0.876 0.876 0.373
Sc1 0.375 0.375 0.876
Sc2 0.003 0.003 0.990
Sc3 0.496 0.496 0.512
Fe1 0.941 0.440 0.180
Fe2 0.433 0.936 0.694
Fe3 0.440 0.440 0.180
Fe4 0.936 0.936 0.694
Fe5 0.186 0.186 0.441
Fe6 0.688 0.688 0.935
Fe7 0.440 0.941 0.180
Fe8 0.936 0.433 0.694
```

Uncorrected energy, eV/atom: -8.047

---

[2]
VASP calculation (PBE) on a relaxed structure of ThScFe10.

```
data_ThScFe10
_space_group_name_H-M_alt 'P 1'
_space_group_IT_number 1
_cell_length_a 3.991
_cell_length_b 4.955
_cell_length_c 8.574
_cell_angle_alpha 90.00
_cell_angle_beta 90.00
_cell_angle_gamma 90.00
loop_
_space_group_symop_operation_xyz
'x,y,z'
loop_
_atom_site_label
_atom_site_fract_x
_atom_site_fract_y
_atom_site_fract_z
Th1 0.000 0.000 0.000
Sc1 0.000 0.500 0.500
Fe1 0.000 0.000 0.341
Fe2 0.000 0.500 0.824
Fe3 0.000 0.500 0.176
Fe4 0.000 0.000 0.659
Fe5 0.500 0.000 0.500
Fe6 0.500 0.500 0.000
Fe7 0.500 0.253 0.259
Fe8 0.500 0.747 0.741
Fe9 0.500 0.747 0.259
Fe10 0.500 0.253 0.741
```

Uncorrected energy, eV/atom: -8.249

---

[3]
VASP calculation (PBE) on a relaxed structure of ThSc2Fe9.

```
data_ThSc2Fe9
_space_group_name_H-M_alt 'P 1'
_space_group_IT_number 1
_cell_length_a 4.990
_cell_length_b 4.990
_cell_length_c 8.543
_cell_angle_alpha 73.02
_cell_angle_beta 73.02
_cell_angle_gamma 60.00
loop_
_space_group_symop_operation_xyz
'x,y,z'
loop_
_atom_site_label
_atom_site_fract_x
_atom_site_fract_y
_atom_site_fract_z
Th1 0.000 0.000 0.000
Sc1 0.856 0.856 0.432
Sc2 0.144 0.144 0.568
Fe1 0.667 0.667 0.998
Fe2 0.333 0.333 0.002
Fe3 0.500 0.500 0.500
Fe4 0.414 0.414 0.257
Fe5 0.916 0.414 0.257
Fe6 0.414 0.916 0.257
Fe7 0.586 0.586 0.743
Fe8 0.586 0.084 0.743
Fe9 0.084 0.586 0.743
```

Uncorrected energy, eV/atom: -8.189

---

[4]
VASP calculation (PBE) on a relaxed structure of ScTi5Fe6.

```
data_ScTi5Fe6
_space_group_name_H-M_alt 'P 1'
_space_group_IT_number 1
_cell_length_a 4.209
_cell_length_b 5.958
_cell_length_c 7.285
_cell_angle_alpha 114.14
_cell_angle_beta 106.79
_cell_angle_gamma 90.00
loop_
_space_group_symop_operation_xyz
'x,y,z'
loop_
_atom_site_label
_atom_site_fract_x
_atom_site_fract_y
_atom_site_fract_z
Sc1 0.000 0.000 0.000
Fe1 0.830 0.575 0.659
Fe2 0.830 0.084 0.659
Fe3 0.500 0.740 0.000
Fe4 0.500 0.260 0.000
Fe5 0.170 0.916 0.341
Fe6 0.170 0.425 0.341
Ti1 0.668 0.168 0.337
Ti2 0.334 0.334 0.668
Ti3 0.000 0.500 0.000
Ti4 0.666 0.666 0.332
Ti5 0.332 0.832 0.663
```

Uncorrected energy, eV/atom: -8.404

---

[5]
VASP calculation (PBE) on a relaxed structure of Sc2TiFe.

```
data_Sc2TiFe
_space_group_name_H-M_alt 'P 1'
_space_group_IT_number 1
_cell_length_a 4.633
_cell_length_b 4.633
_cell_length_c 4.633
_cell_angle_alpha 60.00
_cell_angle_beta 60.00
_cell_angle_gamma 60.00
loop_
_space_group_symop_operation_xyz
'x,y,z'
loop_
_atom_site_label
_atom_site_fract_x
_atom_site_fract_y
_atom_site_fract_z
Sc1 0.250 0.250 0.250
Sc2 0.750 0.750 0.750
Fe1 0.500 0.500 0.500
Ti1 0.000 0.000 0.000
```

Uncorrected energy, eV/atom: -7.021

---

[6]
VASP calculation (PBE) on a relaxed structure of ScTi4Fe5.

```
data_ScTi4Fe5
_space_group_name_H-M_alt 'P 1'
_space_group_IT_number 1
_cell_length_a 2.974
_cell_length_b 2.974
_cell_length_c 15.009
_cell_angle_alpha 90.00
_cell_angle_beta 90.00
_cell_angle_gamma 90.00
loop_
_space_group_symop_operation_xyz
'x,y,z'
loop_
_atom_site_label
_atom_site_fract_x
_atom_site_fract_y
_atom_site_fract_z
Sc1 0.000 0.000 0.000
Ti1 0.000 0.000 0.203
Ti2 0.000 0.000 0.401
Ti3 0.000 0.000 0.599
Ti4 0.000 0.000 0.797
Fe1 0.500 0.500 0.114
Fe2 0.500 0.500 0.306
Fe3 0.500 0.500 0.500
Fe4 0.500 0.500 0.694
Fe5 0.500 0.500 0.886
```

Uncorrected energy, eV/atom: -8.377

---

[7]
VASP calculation (PBE) on a relaxed structure of ScTi3Fe.

```
data_ScTi3Fe
_space_group_name_H-M_alt 'P 1'
_space_group_IT_number 1
_cell_length_a 4.509
_cell_length_b 4.509
_cell_length_c 4.509
_cell_angle_alpha 90.00
_cell_angle_beta 90.00
_cell_angle_gamma 90.00
loop_
_space_group_symop_operation_xyz
'x,y,z'
loop_
_atom_site_label
_atom_site_fract_x
_atom_site_fract_y
_atom_site_fract_z
Sc1 0.000 0.000 0.000
Fe1 0.500 0.500 0.500
Ti1 0.000 0.500 0.000
Ti2 0.000 0.000 0.500
Ti3 0.500 0.000 0.000
```

Uncorrected energy, eV/atom: -6.105

---

[8]
VASP calculation (PBE) on a relaxed structure of ScTiFe4.

```
data_ScTiFe4
_space_group_name_H-M_alt 'P 1'
_space_group_IT_number 1
_cell_length_a 4.864
_cell_length_b 4.864
_cell_length_c 4.864
_cell_angle_alpha 60.00
_cell_angle_beta 60.00
_cell_angle_gamma 60.00
loop_
_space_group_symop_operation_xyz
'x,y,z'
loop_
_atom_site_label
_atom_site_fract_x
_atom_site_fract_y
_atom_site_fract_z
Sc1 0.000 0.000 0.000
Fe1 0.625 0.625 0.125
Fe2 0.625 0.125 0.625
Fe3 0.625 0.625 0.625
Fe4 0.126 0.625 0.625
Ti1 0.250 0.250 0.250
```

Uncorrected energy, eV/atom: -8.298

---

[9]
VASP calculation (PBE) on a relaxed structure of Sc2Ti2Fe.

```
data_Sc2Ti2Fe
_space_group_name_H-M_alt 'P 1'
_space_group_IT_number 1
_cell_length_a 6.105
_cell_length_b 6.105
_cell_length_c 4.908
_cell_angle_alpha 90.00
_cell_angle_beta 90.00
_cell_angle_gamma 90.00
loop_
_space_group_symop_operation_xyz
'x,y,z'
loop_
_atom_site_label
_atom_site_fract_x
_atom_site_fract_y
_atom_site_fract_z
Sc1 0.171 0.671 0.500
Sc2 0.671 0.829 0.500
Sc3 0.829 0.329 0.500
Sc4 0.329 0.171 0.500
Fe1 0.000 0.000 0.000
Fe2 0.500 0.500 0.000
Ti1 0.348 0.848 0.000
Ti2 0.848 0.652 0.000
Ti3 0.652 0.152 0.000
Ti4 0.152 0.348 0.000
```

Uncorrected energy, eV/atom: -7.371

---

[10]
VASP calculation (PBE) on a relaxed structure of ScTi2Fe.

```
data_ScTi2Fe
_space_group_name_H-M_alt 'P 1'
_space_group_IT_number 1
_cell_length_a 3.012
_cell_length_b 3.012
_cell_length_c 7.343
_cell_angle_alpha 90.00
_cell_angle_beta 90.00
_cell_angle_gamma 90.00
loop_
_space_group_symop_operation_xyz
'x,y,z'
loop_
_atom_site_label
_atom_site_fract_x
_atom_site_fract_y
_atom_site_fract_z
Sc1 0.500 0.500 0.500
Fe1 0.500 0.500 0.000
Ti1 0.000 0.000 0.805
Ti2 0.000 0.000 0.195
```

Uncorrected energy, eV/atom: -7.688

---

[11]
VASP calculation (PBE) on a relaxed structure of Sc2TiFe.

```
data_Sc2TiFe
_space_group_name_H-M_alt 'P 1'
_space_group_IT_number 1
_cell_length_a 9.553
_cell_length_b 9.553
_cell_length_c 9.553
_cell_angle_alpha 18.08
_cell_angle_beta 18.08
_cell_angle_gamma 18.08
loop_
_space_group_symop_operation_xyz
'x,y,z'
loop_
_atom_site_label
_atom_site_fract_x
_atom_site_fract_y
_atom_site_fract_z
Sc1 0.921 0.921 0.921
Sc2 0.079 0.079 0.079
Fe1 0.000 0.000 0.000
Ti1 0.500 0.500 0.500
```

Uncorrected energy, eV/atom: -6.779

---

[12]
VASP calculation (PBE) on a relaxed structure of Sc3TiFe.

```
data_Sc3TiFe
_space_group_name_H-M_alt 'P 1'
_space_group_IT_number 1
_cell_length_a 4.800
_cell_length_b 4.800
_cell_length_c 4.800
_cell_angle_alpha 90.00
_cell_angle_beta 90.00
_cell_angle_gamma 90.00
loop_
_space_group_symop_operation_xyz
'x,y,z'
loop_
_atom_site_label
_atom_site_fract_x
_atom_site_fract_y
_atom_site_fract_z
Sc1 0.000 0.500 0.000
Sc2 0.000 0.000 0.500
Sc3 0.500 0.000 0.000
Fe1 0.500 0.500 0.500
Ti1 0.000 0.000 0.000
```

Uncorrected energy, eV/atom: -5.883